Entry 1:
This record from Alexandria describes an optimized crystal structure of In2TcPt. The functional is PBE.

a = 9.048 Å, b = 9.048 Å, c = 9.048 Å
α = 19.54°, β = 19.54°, γ = 19.54°
Atoms (fractional coordinates):
Pt1 0.250 0.250 0.250
In1 0.001 0.001 0.001
Tc1 0.750 0.750 0.750
In2 0.499 0.499 0.499

Output
Calculated formation energy: 92 meV per atom
Symmetry: R-3m, No. 166
D(E_F): 2.9 states/eV/cell
E: -5.379 eV/atom
Total moment: 0.00 μB/cell

***

Entry 2:
This record from Alexandria describes an optimized crystal structure of Ba2BiSb. The functional is PBE.

a = 5.150 Å, b = 6.919 Å, c = 10.175 Å
α = 111.65°, β = 90.00°, γ = 90.00°
Atoms (fractional coordinates):
Ba1 0.750 0.237 0.930
Ba2 0.750 0.229 0.436
Bi1 0.250 0.342 0.212
Sb1 0.750 0.660 0.291
Ba3 0.250 0.771 0.564
Sb2 0.250 0.340 0.709
Ba4 0.250 0.763 0.070
Bi2 0.750 0.658 0.788

Output
Symmetry: P2_1/m, No. 11
D(E_F): 10.2 states/eV/cell
Distance to the lowest polymorph of the same formula: 77.0 meV per atom
Formation energy (no corrections): -0.788 eV per atom
E: -3.750 eV/atom
Total moment: 0.01 μB/cell

***

Entry 3:
This record from Alexandria describes an optimized crystal structure of Ho5In2PdRu2. The functional is PBE.

a = 3.507 Å, b = 11.671 Å, c = 11.671 Å
α = 90.00°, β = 90.00°, γ = 90.00°
Atoms (fractional coordinates):
Ho1 0.500 0.500 0.000
Ho2 0.500 0.567 0.700
Ho3 0.500 0.933 0.200
Pd1 0.000 0.000 0.000
Ru1 0.000 0.864 0.364
Ho4 0.500 0.433 0.300
Ho5 0.500 0.200 0.067
Ho6 0.500 0.000 0.500
Ho7 0.500 0.067 0.800
Ru2 0.000 0.136 0.636
Ru3 0.000 0.364 0.136
Pd2 0.000 0.500 0.500
Ho8 0.500 0.800 0.933
In1 0.000 0.820 0.680
In2 0.000 0.680 0.180
Ru4 0.000 0.636 0.864
Ho9 0.500 0.700 0.433
In3 0.000 0.320 0.820
Ho10 0.500 0.300 0.567
In4 0.000 0.180 0.320

Output
Calculated formation energy: -461 meV per atom
Symmetry: P4/mbm, No. 127
D(E_F): 10.9 states/eV/cell
E: -5.672 eV/atom
Total moment: 0.00 μB/cell

***

Entry 4:
This record from Alexandria describes an optimized crystal structure of PrNd2Si6. The functional is PBE.

a = 4.188 Å, b = 7.175 Å, c = 7.175 Å
α = 120.00°, β = 90.00°, γ = 90.00°
Atoms (fractional coordinates):
Si1 0.500 0.666 0.000
Pr1 0.000 0.000 0.000
Nd1 0.000 0.333 0.667
Si2 0.500 0.334 0.000
Si3 0.500 0.000 0.666
Nd2 0.000 0.667 0.333
Si4 0.500 0.000 0.334
Si5 0.500 0.334 0.334
Si6 0.500 0.666 0.666

Output
Symmetry: P6/mmm, No. 191
D(E_F): 7.0 states/eV/cell
Formation energy (no corrections): -0.575 eV per atom
E: -5.781 eV/atom
Total moment: 0.00 μB/cell

***

Entry 5:
This record from Alexandria describes an optimized crystal structure of Mn2TcHg4. The functional is PBE.

a = 5.278 Å, b = 5.278 Å, c = 7.689 Å
α = 69.93°, β = 69.93°, γ = 90.00°
Last column: magnetic moment on the atom in μB.
Atoms (fractional coordinates):
Hg1 0.796 0.796 0.409  0.02
Mn1 0.404 0.404 0.193  4.03
Hg2 0.204 0.204 0.591  0.02
Mn2 0.596 0.596 0.807  4.03
Hg3 0.000 0.500 0.000  0.01
Hg4 0.500 0.000 0.000  0.01
Tc1 0.000 0.000 0.000  1.78

Output
Calculated formation energy: 792 meV per atom
Symmetry: I4/mmm, No. 139
D(E_F): 4.9 states/eV/cell
E: -3.481 eV/atom
Total moment: 10.72 μB/cell

***

Entry 6:
This record from Alexandria describes an optimized crystal structure of SrZn2HgRh. The functional is PBE.

a = 4.842 Å, b = 4.842 Å, c = 5.268 Å
α = 90.00°, β = 90.00°, γ = 90.00°
Atoms (fractional coordinates):
Zn1 0.000 0.500 0.000
Zn2 0.500 0.000 0.000
Rh1 0.000 0.000 0.000
Hg1 0.000 0.000 0.500
Sr1 0.500 0.500 0.500

Output
Calculated formation energy: -263 meV per atom
Symmetry: P4/mmm, No. 123
D(E_F): 2.3 states/eV/cell
E: -2.640 eV/atom
Total moment: 0.00 μB/cell

***

Entry 7:
This record from Alexandria describes an optimized crystal structure of Zn2Fe3. The functional is PBE.

a = 4.910 Å, b = 6.329 Å, c = 8.652 Å
α = 54.71°, β = 39.86°, γ = 78.17°
Last column: magnetic moment on the atom in μB.
Atoms (fractional coordinates):
Fe1 0.424 0.585 0.866  2.34
Zn1 0.941 0.596 0.353  -0.07
Fe2 0.642 0.199 0.443  2.38
Fe3 0.576 0.415 0.134  2.34
Zn2 0.252 0.000 0.256  -0.07
Fe4 0.358 0.801 0.557  2.38
Fe5 0.115 0.196 0.972  2.37
Zn3 0.059 0.404 0.647  -0.07
Fe6 0.885 0.804 0.028  2.37
Zn4 0.748 0.000 0.744  -0.07

Output
Calculated formation energy: 42 meV per atom
Symmetry: P-1, No. 2
D(E_F): 6.4 states/eV/cell
Distance to the lowest polymorph of the same formula: 0.0 meV per atom
E: -5.545 eV/atom
Total moment: 13.74 μB/cell

***

Entry 8:
This record from Alexandria describes an optimized crystal structure of Zn2MoOs. The functional is PBE.

a = 2.679 Å, b = 2.679 Å, c = 8.175 Å
α = 90.00°, β = 90.00°, γ = 90.00°
Atoms (fractional coordinates):
Zn1 0.000 0.000 0.507
Zn2 0.000 0.000 0.993
Mo1 0.500 0.500 0.250
Os1 0.500 0.500 0.750

Output
Calculated formation energy: 321 meV per atom
Symmetry: P4/mmm, No. 123
D(E_F): 4.5 states/eV/cell
Distance to the lowest polymorph of the same formula: 274.5 meV per atom
E: -5.831 eV/atom
Total moment: 0.00 μB/cell